No. 1
Below is crystalline LaCrB3 at its relaxed geometry, with properties calculated at the GGA-PBE level.

The calculation puts the energy above the lowest structure with this stoichiometry at 0.0 meV per atom. The value obtained for the density is 5565 kg/m3. The value obtained for the density of states at the Fermi level is 3.11 states/eV/f.u. The calculation puts the formation energy at 0.07 eV per atom. The volume is 66.6 Å³ per cell.

The space group is Pm-3m (No. 221) and the conventional cell measures 4.054, 4.054 and 4.054 Å, with angles of 90.00, 90.00 and 90.00 degrees. The distinct sites, in fractional coordinates, are La at (0.000, 0.000, 0.000), Cr at (0.500, 0.500, 0.500) and B at (0.000, 0.500, 0.500).

No. 2
Below is crystalline RbLiUTe4 at its relaxed geometry, with properties calculated at the GGA-PBE level.

The uncorrected formation energy comes out at -0.731 eV per atom. The value obtained for the density is 5845 kg/m3. The value obtained for the density of states at the Fermi level is 5.67 states/eV/f.u. The volume is 477.8 Å³ per cell.

The space group is P2_1/m (No. 11) and the conventional cell measures 7.755, 6.223 and 10.439 Å, with angles of 90.00, 108.49 and 90.00 degrees. The distinct sites, in fractional coordinates, are Rb at (0.238, 0.250, 0.053), Li at (0.267, 0.750, 0.320), U at (0.271, 0.250, 0.558), Te at (0.021, 0.507, 0.692), Te at (0.438, 0.750, 0.586) and Te at (0.476, 0.750, 0.164).

No. 3
Below is crystalline SiSb2 at its relaxed geometry, with properties calculated at the GGA-PBE level.

The uncorrected formation energy comes out at 0.493 eV per atom. The calculation puts the energy above the lowest structure with this stoichiometry at 312.0 meV per atom. The value obtained for the density is 6448 kg/m3. The value obtained for the density of states at the Fermi level is 2.99 states/eV/f.u. The volume is 139.9 Å³ per cell.

The space group is P6_3/mmc (No. 194) and the conventional cell measures 5.0625, 5.0625 and 6.3031 Å, with angles of 90.00, 90.00 and 120.00 degrees. The distinct sites, in fractional coordinates, are Si at (0.3333, 0.6667, 0.2500), Sb at (0.0000, 0.0000, 0.0000) and Sb at (0.3333, 0.6667, 0.7500).

No. 4
Below is crystalline SrTaP2Os at its relaxed geometry, with properties calculated at the GGA-PBE level.

The calculation puts the energy above the lowest structure with this stoichiometry at 0.0 meV per atom. The value obtained for the density is 8677 kg/m3. The value obtained for the density of states at the Fermi level is 2.32 states/eV/f.u. The calculation puts the formation energy at -0.65 eV per atom. The volume is 199.3 Å³ per cell.

The space group is I-4m2 (No. 119) and the conventional cell measures 3.960, 3.960 and 12.710 Å, with angles of 90.00, 90.00 and 90.00 degrees. The distinct sites, in fractional coordinates, are Sr at (0.000, 0.000, 0.000), Ta at (0.000, 0.500, 0.750), P at (0.000, 0.000, 0.367) and Os at (0.000, 0.500, 0.250).

No. 5
Below is crystalline TbHoTeSe at its relaxed geometry, with properties calculated at the GGA-PBE level.

The uncorrected formation energy comes out at -1.557 eV per atom. The value obtained for the density is 8314 kg/m3. The value obtained for the density of states at the Fermi level is 0.56 states/eV/f.u. The volume is 317.8 Å³ per cell.

The space group is R3m (No. 160, hexagonal axes) and the conventional cell measures 4.0911, 4.0911 and 21.9232 Å, with angles of 90.00, 90.00 and 120.00 degrees. The distinct sites, in fractional coordinates, are Tb at (0.0000, 0.0000, 0.0000), Ho at (0.0000, 0.0000, 0.8128), Te at (0.0000, 0.0000, 0.5730) and Se at (0.0000, 0.0000, 0.4056).

No. 6
Below is crystalline Ac2AlCd3Hg4 at its relaxed geometry, with properties calculated at the GGA-PBE level.

The value obtained for the density is 10071 kg/m3. The value obtained for the density of states at the Fermi level is 5.82 states/eV/f.u. The calculation puts the formation energy at -0.28 eV per atom. The volume is 267.2 Å³ per cell.

The space group is P-4m2 (No. 115) and the conventional cell measures 4.725, 4.725 and 11.969 Å, with angles of 90.00, 90.00 and 90.00 degrees. The distinct sites, in fractional coordinates, are Ac at (0.000, 0.500, 0.246), Al at (0.500, 0.500, 0.000), Cd at (0.000, 0.000, 0.000), Cd at (0.000, 0.500, 0.639), Hg at (0.000, 0.000, 0.500), Hg at (0.000, 0.500, 0.871) and Hg at (0.500, 0.500, 0.500).

Which of these has the lowest density?
LaCrB3